Entry 1:
Below is crystalline Rb2ZrSeBr6 at its relaxed geometry, with properties calculated at the PBE level.

a b c (Å): 8.843 8.843 8.135
angles (deg): 57.08 57.08 90.00
Fractional coordinates of all 10 atoms:
Rb (0.250, 0.750, 0.500)
Zr (0.000, 0.000, 0.000)
Br (0.254, 0.254, 0.492)
Rb (0.750, 0.250, 0.500)
Br (0.213, 0.787, 0.000)
Se (0.500, 0.500, 0.000)
Br (0.787, 0.213, 0.000)
Br (0.746, 0.746, 0.508)
Br (0.787, 0.787, 0.000)
Br (0.213, 0.213, 0.000)

## Properties
DOS at the Fermi energy in states/eV per atom: 0.000
Energy relative to the elements, uncorrected in eV/f.u.: -11.55
Space group: I4/mmm (139)

Entry 2:
Below is crystalline ReGePtSe2 at its relaxed geometry, with properties calculated at the PBE level.

a b c (Å): 4.760 4.936 4.760
angles (deg): 90.00 90.00 90.00
Fractional coordinates of all 5 atoms:
Re (0.000, 0.000, 0.000)
Ge (0.000, 0.500, 0.000)
Pt (0.500, 0.500, 0.500)
Se (0.500, 0.000, 0.000)
Se (0.000, 0.000, 0.500)

## Properties
DOS at the Fermi energy in states/eV per atom: 0.905
Energy relative to the elements, uncorrected in eV/f.u.: 4.22
Space group: P4/mmm (123)

Entry 3:
Below is crystalline PuAgHg at its relaxed geometry, with properties calculated at the PBE level.

a b c (Å): 4.485 3.438 11.380
angles (deg): 72.56 90.00 130.71
Fractional coordinates of all 6 atoms:
Hg (0.952, 0.905, 0.757)
Ag (0.686, 0.372, 0.078)
Pu (0.660, 0.320, 0.545)
Pu (0.340, 0.680, 0.455)
Hg (0.048, 0.095, 0.243)
Ag (0.314, 0.628, 0.922)

## Properties
Energy relative to the elements in eV per formula unit: 0.41
DOS at the Fermi energy in states/eV per atom: 1.360
Space group: C2/m (12)
Energy above the lowest structure with this stoichiometry in meV per atom: 257

Entry 4:
Below is crystalline IrW4Cl at its relaxed geometry, with properties calculated at the PBE level.

a b c (Å): 5.282 5.282 5.282
angles (deg): 60.00 60.00 60.00
Fractional coordinates of all 6 atoms:
W (0.127, 0.624, 0.624)
W (0.624, 0.624, 0.127)
Ir (0.000, 0.000, 0.000)
W (0.624, 0.127, 0.624)
W (0.624, 0.624, 0.624)
Cl (0.250, 0.250, 0.250)

## Properties
DOS at the Fermi energy in states/eV per atom: 0.843
Energy relative to the elements, uncorrected in eV/f.u.: 6.54
Space group: F-43m (216)

Entry 5:
Below is crystalline Na2YZn2 at its relaxed geometry, with properties calculated at the PBE level.

a b c (Å): 4.120 4.120 7.668
angles (deg): 74.41 74.41 90.00
Fractional coordinates of all 5 atoms:
Zn (0.589, 0.589, 0.822)
Na (0.250, 0.750, 0.500)
Na (0.750, 0.250, 0.500)
Zn (0.411, 0.411, 0.178)
Y (0.000, 0.000, 0.000)

## Properties
Energy relative to the elements in eV per formula unit: 0.11
DOS at the Fermi energy in states/eV per atom: 0.655
Space group: I4/mmm (139)
Energy above the lowest structure with this stoichiometry in meV per atom: 0

Entry 6:
Below is crystalline LuHfGaCu at its relaxed geometry, with properties calculated at the PBE level.

a b c (Å): 4.758 4.758 4.758
angles (deg): 60.00 60.00 60.00
Each line ends with the local moment (μB).
Fractional coordinates of all 4 atoms:
Ga (0.750, 0.750, 0.750)  0.01
Hf (0.500, 0.500, 0.500)  -0.14
Lu (0.000, 0.000, 0.000)  -0.09
Cu (0.250, 0.250, 0.250)  -0.02

## Properties
Energy relative to the elements in eV per formula unit: -1.15
DOS at the Fermi energy in states/eV per atom: 0.948
Space group: F-43m (216)

Entry 7:
Below is crystalline PmTh2TcC4 at its relaxed geometry, with properties calculated at the PBE level.

a b c (Å): 3.653 6.404 12.679
angles (deg): 90.00 90.00 106.57
Fractional coordinates of all 16 atoms:
C (0.413, 0.826, 0.750)
Tc (0.833, 0.665, 0.750)
Tc (0.167, 0.335, 0.250)
C (0.000, 0.000, 0.000)
Th (0.368, 0.736, 0.959)
Pm (0.100, 0.199, 0.750)
Pm (0.900, 0.801, 0.250)
C (0.266, 0.532, 0.366)
Th (0.368, 0.736, 0.541)
C (0.587, 0.174, 0.250)
C (0.734, 0.468, 0.866)
C (0.000, 0.000, 0.500)
Th (0.632, 0.264, 0.041)
C (0.266, 0.532, 0.134)
Th (0.632, 0.264, 0.459)
C (0.734, 0.468, 0.634)

## Properties
Energy relative to the elements in eV per formula unit: -0.22
DOS at the Fermi energy in states/eV per atom: 0.626
Space group: Cmcm (63)

Entry 8:
Below is crystalline Zr3CdPd12 at its relaxed geometry, with properties calculated at the PBE level.

a b c (Å): 4.036 4.036 16.126
angles (deg): 90.00 90.00 90.00
Fractional coordinates of all 16 atoms:
Zr (0.000, 0.000, 0.500)
Zr (0.000, 0.000, 0.246)
Pd (0.000, 0.500, 0.129)
Pd (0.500, 0.000, 0.871)
Pd (0.500, 0.000, 0.129)
Pd (0.500, 0.500, 0.000)
Pd (0.000, 0.500, 0.871)
Pd (0.500, 0.000, 0.624)
Pd (0.500, 0.500, 0.500)
Zr (0.000, 0.000, 0.754)
Pd (0.500, 0.000, 0.376)
Pd (0.500, 0.500, 0.253)
Pd (0.000, 0.500, 0.624)
Pd (0.000, 0.500, 0.376)
Pd (0.500, 0.500, 0.747)
Cd (0.000, 0.000, 0.000)

## Properties
Energy relative to the elements in eV per formula unit: -11.15
DOS at the Fermi energy in states/eV per atom: 0.403
Space group: P4/mmm (123)

Entry 9:
Below is crystalline Pr4TlNi at its relaxed geometry, with properties calculated at the PBE level.

a b c (Å): 5.979 7.187 9.253
angles (deg): 90.00 114.43 90.00
Fractional coordinates of all 12 atoms:
Pr (0.939, 0.494, 0.277)
Pr (0.568, 0.250, 0.447)
Tl (0.281, 0.250, 0.068)
Tl (0.719, 0.750, 0.932)
Pr (0.939, 0.006, 0.277)
Pr (0.354, 0.750, 0.126)
Ni (0.202, 0.250, 0.552)
Pr (0.061, 0.994, 0.723)
Ni (0.798, 0.750, 0.448)
Pr (0.646, 0.250, 0.874)
Pr (0.061, 0.506, 0.723)
Pr (0.432, 0.750, 0.553)

## Properties
Energy relative to the elements in eV per formula unit: -1.27
DOS at the Fermi energy in states/eV per atom: 1.069
Space group: P2_1/m (11)
Energy above the lowest structure with this stoichiometry in meV per atom: 0

Entry 10:
Below is crystalline In3Hg at its relaxed geometry, with properties calculated at the PBE level.

a b c (Å): 5.708 6.206 6.206
angles (deg): 96.10 90.00 90.00
Fractional coordinates of all 8 atoms:
Hg (0.750, 0.382, 0.618)
In (0.250, 0.129, 0.871)
In (0.250, 0.118, 0.370)
In (0.750, 0.370, 0.118)
In (0.750, 0.871, 0.129)
In (0.250, 0.630, 0.882)
Hg (0.250, 0.618, 0.382)
In (0.750, 0.882, 0.630)

## Properties
Energy relative to the elements in eV per formula unit: 0.11
DOS at the Fermi energy in states/eV per atom: 0.339
Space group: Cmcm (63)

Entry 11:
Below is crystalline TlZnFeGe2 at its relaxed geometry, with properties calculated at the PBE level.

a b c (Å): 4.528 5.203 4.528
angles (deg): 90.00 90.00 90.00
Each line ends with the local moment (μB).
Fractional coordinates of all 5 atoms:
Ge (0.000, 0.000, 0.500)  0.02
Fe (0.000, 0.000, 0.000)  0.55
Tl (0.000, 0.500, 0.000)  0.00
Ge (0.500, 0.000, 0.000)  -0.01
Zn (0.500, 0.500, 0.500)  0.01

## Properties
Energy relative to the elements in eV per formula unit: 1.32
DOS at the Fermi energy in states/eV per atom: 0.671
Space group: P4/mmm (123)
Energy above the lowest structure with this stoichiometry in meV per atom: 125

Entry 12:
Below is crystalline MnFe2Hg at its relaxed geometry, with properties calculated at the PBE level.

a b c (Å): 4.350 4.350 4.350
angles (deg): 60.00 60.00 60.00
Each line ends with the local moment (μB).
Fractional coordinates of all 4 atoms:
Mn (0.750, 0.750, 0.750)  3.36
Fe (0.250, 0.250, 0.250)  2.63
Fe (0.000, 0.000, 0.000)  2.48
Hg (0.500, 0.500, 0.500)  -0.05

## Properties
Energy relative to the elements in eV per formula unit: 1.57
DOS at the Fermi energy in states/eV per atom: 0.855
Space group: F-43m (216)

Entry 13:
Below is crystalline Zr2VMo3 at its relaxed geometry, with properties calculated at the PBE level.

a b c (Å): 5.345 5.345 5.344
angles (deg): 89.94 120.01 120.06
Fractional coordinates of all 6 atoms:
Zr (0.750, 0.375, 0.125)
V (0.000, 0.000, 0.000)
Mo (0.500, 0.500, 0.500)
Mo (0.500, 0.000, 0.500)
Mo (0.000, 0.000, 0.500)
Zr (0.250, 0.625, 0.875)

## Properties
Energy relative to the elements in eV per formula unit: -0.91
DOS at the Fermi energy in states/eV per atom: 0.749
Space group: R-3m (166)

Entry 14:
Below is crystalline CrHSe2 at its relaxed geometry, with properties calculated at the PBE level.

a b c (Å): 3.549 7.034 5.915
angles (deg): 97.37 90.19 106.51
Each line ends with the local moment (μB).
Fractional coordinates of all 8 atoms:
Se (0.092, 0.449, 0.452)  -0.07
H (0.280, 0.455, 0.811)  0.00
Se (0.872, 0.937, 0.714)  -0.07
Cr (0.240, 0.701, 0.777)  0.74
Se (0.329, 0.859, 0.195)  -0.05
H (0.468, 0.083, 0.253)  0.00
Cr (0.727, 0.684, 0.396)  1.46
Se (0.664, 0.490, 0.980)  -0.03

## Properties
DOS at the Fermi energy in states/eV per atom: 0.162
Space group: P1 (1)
Energy above the lowest structure with this stoichiometry in meV per atom: 126

Entry 15:
Below is crystalline LiTa2Cl at its relaxed geometry, with properties calculated at the PBE level.

a b c (Å): 9.646 9.646 9.646
angles (deg): 17.44 17.44 17.44
Fractional coordinates of all 4 atoms:
Cl (0.250, 0.250, 0.250)
Ta (0.992, 0.992, 0.992)
Ta (0.508, 0.508, 0.508)
Li (0.750, 0.750, 0.750)

## Properties
DOS at the Fermi energy in states/eV per atom: 1.095
Energy relative to the elements, uncorrected in eV/f.u.: 1.38
Space group: R-3m (166)
Energy above the lowest structure with this stoichiometry in meV per atom: 478

Entry 16:
Below is crystalline Sm2NiH6Rh at its relaxed geometry, with properties calculated at the PBE level.

a b c (Å): 5.188 5.188 5.157
angles (deg): 120.18 120.18 90.14
Fractional coordinates of all 10 atoms:
Sm (0.250, 0.750, 0.500)
H (0.243, 0.244, 0.000)
H (0.757, 0.244, 0.000)
H (0.244, 0.244, 0.487)
Sm (0.750, 0.250, 0.500)
H (0.243, 0.757, 0.000)
H (0.757, 0.757, 0.000)
H (0.756, 0.757, 0.513)
Rh (0.500, 0.500, 0.000)
Ni (0.000, 0.000, 0.000)

## Properties
E in eV/atom: -4.788
DOS at the Fermi energy in states/eV per atom: 0.285
Space group: Fmmm (69)

Entry 17:
Below is crystalline Nd3Y4Th2 at its relaxed geometry, with properties calculated at the PBE level.

a b c (Å): 6.370 9.935 9.936
angles (deg): 83.66 98.28 98.29
Fractional coordinates of all 18 atoms:
Th (0.861, 0.368, 0.219)
Nd (0.493, 0.163, 0.048)
Y (0.979, 0.707, 0.133)
Nd (0.993, 0.048, 0.163)
Nd (0.007, 0.952, 0.837)
Y (0.366, 0.497, 0.129)
Y (0.521, 0.868, 0.294)
Y (0.634, 0.503, 0.871)
Y (0.479, 0.132, 0.706)
Y (0.867, 0.129, 0.497)
Nd (0.750, 0.466, 0.534)
Th (0.362, 0.219, 0.368)
Th (0.638, 0.781, 0.632)
Th (0.139, 0.632, 0.781)
Y (0.133, 0.871, 0.503)
Y (0.021, 0.293, 0.867)
Nd (0.507, 0.837, 0.952)
Nd (0.250, 0.534, 0.466)

## Properties
Energy relative to the elements in eV per formula unit: 1.35
DOS at the Fermi energy in states/eV per atom: 1.621
Space group: C2/c (15)